Below is a geometry-optimized La3YEr structure, with properties calculated at the PBE level.

Computed properties:
ΔE to the lowest computed polymorph = 0 meV per atom

a = 6.723 Å, b = 10.359 Å, c = 10.359 Å
α = 82.03°, β = 78.80°, γ = 78.80°
Atoms (fractional coordinates):
La (0.148, 0.739, 0.867)
La (0.352, 0.133, 0.261)
La (0.852, 0.261, 0.133)
La (0.648, 0.867, 0.739)
La (0.351, 0.385, 0.011)
La (0.149, 0.989, 0.615)
La (0.649, 0.615, 0.989)
La (0.851, 0.011, 0.385)
La (0.070, 0.408, 0.782)
La (0.430, 0.218, 0.592)
La (0.930, 0.592, 0.218)
La (0.570, 0.782, 0.408)
Y (0.565, 0.531, 0.669)
Y (0.935, 0.331, 0.469)
Y (0.435, 0.469, 0.331)
Y (0.065, 0.669, 0.531)
Er (0.750, 0.935, 0.065)
Er (0.250, 0.065, 0.935)
Er (0.750, 0.190, 0.810)
Er (0.250, 0.810, 0.190)